[1]
Below is an optimized crystal structure of Y3RuF, with properties calculated at the GGA-PBE level.

Cell and atoms, written as CIF:
```
data_Y3RuF
_chemical_formula_sum 'Y3 Ru1 F1'
_cell_length_a 4.733
_cell_length_b 4.733
_cell_length_c 4.733
_cell_angle_alpha 90.00
_cell_angle_beta 90.00
_cell_angle_gamma 90.00
_symmetry_space_group_name_H-M 'P m -3 m'
_symmetry_Int_Tables_number 221
_symmetry_space_group_name_Hall '-P 4 2 3'
loop_
_atom_site_label
_atom_site_fract_x
_atom_site_fract_y
_atom_site_fract_z
Y1 0.000 0.000 0.500
Ru1 0.500 0.500 0.500
F1 0.000 0.000 0.000
```

DOS(E_F) = 6.7 states/eV per cell
E_form (uncorrected) = -763 meV/atom
Volume = 106.0 Å³ per cell
Total magnetic moment = 0.00 Bohr magnetons per cell
Crystal system = cubic
Offset from the most stable computed form = 0 meV/atom

***

[2]
Below is an optimized crystal structure of YRuF3, with properties calculated at the GGA-PBE level.

Cell and atoms, written as CIF:
```
data_YRuF3
_chemical_formula_sum 'Y1 Ru1 F3'
_cell_length_a 4.279
_cell_length_b 4.279
_cell_length_c 4.279
_cell_angle_alpha 90.00
_cell_angle_beta 90.00
_cell_angle_gamma 90.00
_symmetry_space_group_name_H-M 'P m -3 m'
_symmetry_Int_Tables_number 221
_symmetry_space_group_name_Hall '-P 4 2 3'
loop_
_atom_site_label
_atom_site_fract_x
_atom_site_fract_y
_atom_site_fract_z
Y1 0.000 0.000 0.000
Ru1 0.500 0.500 0.500
F1 0.000 0.500 0.500
```

DOS(E_F) = 5.2 states/eV per cell
E_form (uncorrected) = -1165 meV/atom
Volume = 78.3 Å³ per cell
Total magnetic moment = 0.00 Bohr magnetons per cell
Crystal system = cubic

***

[3]
Below is an optimized crystal structure of YRu3F, with properties calculated at the GGA-PBE level.

Cell and atoms, written as CIF:
```
data_YRu3F
_chemical_formula_sum 'Y1 Ru3 F1'
_cell_length_a 5.011
_cell_length_b 5.011
_cell_length_c 5.011
_cell_angle_alpha 90.00
_cell_angle_beta 90.00
_cell_angle_gamma 90.00
_symmetry_space_group_name_H-M 'P m -3 m'
_symmetry_Int_Tables_number 221
_symmetry_space_group_name_Hall '-P 4 2 3'
loop_
_atom_site_label
_atom_site_fract_x
_atom_site_fract_y
_atom_site_fract_z
Y1 0.000 0.000 0.000
Ru1 0.000 0.000 0.500
F1 0.500 0.500 0.500
```

DOS(E_F) = 5.7 states/eV per cell
E_form (uncorrected) = 1992 meV/atom
Volume = 125.8 Å³ per cell
Total magnetic moment = 5.79 Bohr magnetons per cell
Crystal system = cubic
Offset from the most stable computed form = 1544 meV/atom